Record 1
The following is a DFT calculation (PBE) of a relaxed Ag5P crystal.

Values from the calculation:
- Space group: Amm2
- Energy above the lowest structure with this stoichiometry: 6 meV per atom
- Energy of formation: 0.150 eV per atom

Cell and atoms, written as POSCAR:
```
Ag5P
1.0
1.455 -7.540 0.000
1.455 7.540 0.000
0.000 0.000 4.787
Ag P
5 1
direct
0.335 0.665 0.000
0.447 0.553 0.500
0.775 0.225 0.500
0.665 0.335 0.000
0.001 0.999 0.000
0.110 0.890 0.500
```



Record 2
The following is a DFT calculation (PBE) of a relaxed LaCr2Cd crystal.

Values from the calculation:
- Space group: I-42d
- Energy of formation: 1.308 eV per atom

Cell and atoms, written as POSCAR:
```
LaCr2Cd
1.0
-3.269 -6.107 -2.763
5.072 -4.263 3.423
-0.816 -5.334 2.689
Cr Cd La
4 2 2
direct
0.875 0.865 0.750
0.615 0.125 0.250
0.375 0.385 0.750
0.135 0.625 0.250
0.250 0.750 0.500
0.500 0.500 0.000
0.750 0.250 0.500
0.000 0.000 0.000
```



Record 3
The following is a DFT calculation (PBE) of a relaxed Ca2ZrW crystal.

Values from the calculation:
- Space group: Immm
- Energy above the lowest structure with this stoichiometry: 209 meV per atom
- Energy of formation: 0.597 eV per atom

Cell and atoms, written as POSCAR:
```
Ca2ZrW
1.0
-2.698 -8.004 3.658
2.737 -8.151 3.285
-0.604 9.127 -1.026
Ca Zr W
2 1 1
direct
0.589 0.589 0.000
0.911 0.911 0.000
0.250 0.750 0.500
0.750 0.250 0.500
```



Record 4
The following is a DFT calculation (PBE) of a relaxed Al2CrS2 crystal.

Values from the calculation:
- Space group: P4/mbm
- E_form (uncorrected): -0.194 eV/atom
- Energy above the lowest structure with this stoichiometry: 0 meV per atom

Cell and atoms, written as POSCAR:
```
Al2CrS2
1.0
-6.346 0.323 -2.727
1.336 -5.635 -3.778
-1.312 -2.185 2.794
Al S Cr
4 4 2
direct
0.368 0.132 0.500
0.632 0.868 0.500
0.868 0.368 0.500
0.132 0.632 0.500
0.732 0.232 0.000
0.232 0.268 0.000
0.268 0.768 0.000
0.768 0.732 0.000
0.000 0.000 0.000
0.500 0.500 0.000
```



Record 5
The following is a DFT calculation (PBE) of a relaxed Li2AlPb crystal.

Values from the calculation:
- Space group: P4/mmm
- Energy of formation: -0.154 eV per atom

Cell and atoms, written as POSCAR:
```
Li2AlPb
1.0
-0.617 -0.155 3.381
3.290 -0.834 0.562
1.485 6.237 0.557
Pb Al Li
1 1 2
direct
0.500 0.500 0.250
0.500 0.500 0.750
0.000 0.000 0.525
0.000 0.000 0.975
```



Record 6
The following is a DFT calculation (PBE) of a relaxed TiPdPbSe2 crystal.

Values from the calculation:
- Space group: P4/mmm
- E_form (uncorrected): 0.219 eV/atom

Cell and atoms, written as POSCAR:
```
TiPdPbSe2
1.0
-1.379 3.661 3.140
0.417 -3.069 3.761
4.804 1.333 0.555
Se Pd Pb Ti
2 1 1 1
direct
0.000 0.000 0.500
0.500 0.000 0.000
0.000 0.000 0.000
0.500 0.500 0.500
0.000 0.500 0.000
```



Record 7
The following is a DFT calculation (PBE) of a relaxed KRbGa2Bi2 crystal.

Values from the calculation:
- Space group: P-3m1
- Energy of formation: -0.168 eV per atom

Cell and atoms, written as POSCAR:
```
KRbGa2Bi2
1.0
5.025 0.000 0.000
-2.513 4.352 0.000
0.000 0.000 10.798
K Rb Bi Ga
1 1 2 2
direct
0.000 0.000 0.500
0.000 0.000 0.000
0.667 0.333 0.741
0.333 0.667 0.259
0.667 0.333 0.260
0.333 0.667 0.740
```



Record 8
The following is a DFT calculation (PBE) of a relaxed Hf4Ge2As crystal.

Values from the calculation:
- Space group: I4/mmm
- Energy of formation: 0.139 eV per atom

Cell and atoms, written as POSCAR:
```
Hf4Ge2As
1.0
-0.981 -1.651 4.366
3.751 -2.933 -0.266
5.556 2.783 4.905
Ge As Hf
2 1 4
direct
0.367 0.367 0.266
0.633 0.633 0.734
0.000 0.000 0.000
0.178 0.178 0.643
0.822 0.822 0.357
0.500 0.000 0.000
0.000 0.500 0.000
```